(1)
CsReSeN2: relaxed, PBE.

Output
Uncorrected formation energy: 66.4 kcal/mol of atoms
Total magnetization: 5.391 μB per formula unit
E: -3.8083 eV/atom
Excess energy over the best structure of this formula in the dataset: 2318 meV/atom
DOS(E_F): 4.7 states/eV per cell

Cell: 4.1464 4.1464 6.4556 Å, 90.00 90.00 90.00°
With the nearest neighbours (Å) after each atom.
Space group P4/mmm (No. 123)
Inequivalent atoms, fractional coordinates:
Cs (0.0000, 0.0000, 0.0000) (multiplicity 1)  4 Re 2.93, 2 Se 3.23
Re (0.5000, 0.5000, 0.0000) (multiplicity 1)  4 Cs 2.93
Se (0.0000, 0.0000, 0.5000) (multiplicity 1)  4 N 2.07
N (0.0000, 0.5000, 0.5000) (multiplicity 2)  2 Se 2.07

***

(2)
Sm7ScCd2: relaxed, PBE.

Output
Total magnetization: 0.000 μB per formula unit
E: -3.7162 eV/atom
Energy relative to the elements: 4.03 eV per formula unit
DOS(E_F): 33.9 states/eV per cell

Cell: 9.0132 16.2086 5.1363 Å, 90.00 90.00 90.00°
With the nearest neighbours (Å) after each atom.
Space group Cmmm (No. 65)
Inequivalent atoms, fractional coordinates:
Sm (0.0000, 0.0000, 0.0000) (multiplicity 2)  2 Cd 3.16, 4 Sm 3.39
Sm (0.0000, 0.2840, 0.5000) (multiplicity 4)  2 Cd 2.95
Sm (0.1831, 0.3872, 0.0000) (multiplicity 8)  1 Cd 3.15, 4 Sm 3.30-3.48
Sc (0.0000, 0.5000, 0.5000) (multiplicity 2)  10 Sm 3.50-3.56
Cd (0.0000, 0.1947, 0.0000) (multiplicity 4)  5 Sm 2.95-3.16

***

Q: The highest total magnetization belongs to which entry?
A: CsReSeN2

***

Q: The lowest DOS(E_F) belongs to which entry?
A: CsReSeN2